Material: BaFeO3
Method: DFT, PBE+U
State: relaxed

a b c (Å): 3.881 3.881 12.620
angles (deg): 90.00 90.00 120.00
Sites, in units of the cell vectors:
Ba 0.000 0.000 0.000
Ba 0.000 0.000 0.500
Fe 0.333 0.667 0.250
Fe 0.667 0.333 0.750
O 0.000 0.000 0.250
O 0.000 0.000 0.750
O 0.333 0.667 0.109
O 0.333 0.667 0.391
O 0.667 0.333 0.609
O 0.667 0.333 0.891

## Properties
DFT total energy = -6.0678 eV per atom